Arrangement one

InMo2Pb: PBEsol geometry, meta-GGA SCAN.

abc: 3.401 4.848 9.067
angles: 90.00 90.00 90.00
Sites, in units of the cell vectors:
In 0.000 0.000 0.000
In 0.500 0.500 0.000
Mo 0.000 0.500 0.247
Mo 0.000 0.500 0.753
Mo 0.500 0.000 0.247
Mo 0.500 0.000 0.753
Pb 0.000 0.000 0.500
Pb 0.500 0.500 0.500

Space group   Cmmm


Arrangement two

InMo2Pb: PBEsol geometry, meta-GGA SCAN.

abc: 3.181 3.181 27.666
angles: 90.00 90.00 120.00
Sites, in units of the cell vectors:
In 0.000 0.000 0.000
In 0.333 0.667 0.667
In 0.667 0.333 0.333
Mo 0.000 0.000 0.479
Mo 0.000 0.000 0.750
Mo 0.333 0.667 0.145
Mo 0.333 0.667 0.417
Mo 0.667 0.333 0.083
Mo 0.667 0.333 0.812
Pb 0.000 0.000 0.233
Pb 0.333 0.667 0.900
Pb 0.667 0.333 0.567

Space group   R3m


Question: which arrangement is favored energetically? Ranking from most to least stable: arrangement two, arrangement one.


Arrangement one

In2ReMo: PBEsol geometry, meta-GGA SCAN.

abc: 2.944 2.944 27.766
angles: 90.00 90.00 120.00
Sites, in units of the cell vectors:
In 0.000 0.000 0.249
In 0.000 0.000 0.751
In 0.333 0.667 0.418
In 0.333 0.667 0.916
In 0.667 0.333 0.084
In 0.667 0.333 0.582
Re 0.000 0.000 0.500
Re 0.333 0.667 0.167
Re 0.667 0.333 0.833
Mo 0.000 0.000 0.000
Mo 0.333 0.667 0.667
Mo 0.667 0.333 0.333

Space group   R-3m


Arrangement two

In2ReMo: PBEsol geometry, meta-GGA SCAN.

abc: 5.685 9.178 2.849
angles: 90.00 110.70 90.00
Sites, in units of the cell vectors:
In 0.250 0.250 0.000
In 0.250 0.750 0.000
In 0.750 0.250 0.000
In 0.750 0.750 0.000
Re 0.000 0.000 0.500
Re 0.500 0.500 0.500
Mo 0.000 0.500 0.500
Mo 0.500 0.000 0.500

Space group   C2/m


Question: which arrangement is favored energetically? Ranking from most to least stable: arrangement one, arrangement two.


Arrangement one

In2ReMo: PBEsol geometry, meta-GGA SCAN.

abc: 6.489 6.489 6.489
angles: 90.00 90.00 90.00
Sites, in units of the cell vectors:
In 0.250 0.250 0.250
In 0.250 0.250 0.750
In 0.250 0.750 0.250
In 0.250 0.750 0.750
In 0.750 0.250 0.250
In 0.750 0.250 0.750
In 0.750 0.750 0.250
In 0.750 0.750 0.750
Re 0.000 0.000 0.000
Re 0.000 0.500 0.500
Re 0.500 0.000 0.500
Re 0.500 0.500 0.000
Mo 0.000 0.000 0.500
Mo 0.000 0.500 0.000
Mo 0.500 0.000 0.000
Mo 0.500 0.500 0.500

Space group   Fm-3m


Arrangement two

In2ReMo: PBEsol geometry, meta-GGA SCAN.

abc: 3.207 4.706 9.228
angles: 90.00 90.00 90.00
Sites, in units of the cell vectors:
In 0.000 0.000 0.247
In 0.000 0.000 0.753
In 0.500 0.500 0.253
In 0.500 0.500 0.747
Re 0.000 0.500 0.500
Re 0.500 0.000 0.000
Mo 0.000 0.500 0.000
Mo 0.500 0.000 0.500

Space group   Immm


Arrangement three

In2ReMo: PBEsol geometry, meta-GGA SCAN.

abc: 2.896 4.309 5.570
angles: 90.00 90.00 90.00
Sites, in units of the cell vectors:
In 0.000 0.000 0.249
In 0.000 0.000 0.751
Re 0.500 0.500 0.000
Mo 0.500 0.500 0.500

Space group   Pmmm


Question: which arrangement is favored energetically? Ranking from most to least stable: arrangement two, arrangement three, arrangement one.


Arrangement one

In2ReMo: PBEsol geometry, meta-GGA SCAN.

abc: 3.997 3.997 4.350
angles: 90.00 90.00 90.00
Sites, in units of the cell vectors:
In 0.000 0.500 0.000
In 0.500 0.000 0.000
Re 0.000 0.000 0.500
Mo 0.500 0.500 0.500

Space group   P4/mmm


Arrangement two

In2ReMo: PBEsol geometry, meta-GGA SCAN.

abc: 3.252 4.680 9.143
angles: 90.00 90.00 90.00
Sites, in units of the cell vectors:
In 0.000 0.000 0.249
In 0.000 0.000 0.751
In 0.500 0.500 0.249
In 0.500 0.500 0.751
Re 0.000 0.500 0.000
Re 0.500 0.000 0.000
Mo 0.000 0.500 0.500
Mo 0.500 0.000 0.500

Space group   Cmmm


Question: which arrangement is favored energetically? Ranking from most to least stable: arrangement two, arrangement one.


Arrangement one

InMo2Se: PBEsol geometry, meta-GGA SCAN.

abc: 4.154 4.154 7.897
angles: 90.00 90.00 90.00
Sites, in units of the cell vectors:
In 0.000 0.000 0.000
In 0.500 0.500 0.500
Mo 0.000 0.000 0.500
Mo 0.000 0.500 0.250
Mo 0.500 0.000 0.750
Mo 0.500 0.500 0.000
Se 0.000 0.500 0.750
Se 0.500 0.000 0.250

Space group   I-4m2


Arrangement two

InMo2Se: PBEsol geometry, meta-GGA SCAN.

abc: 3.932 3.932 4.472
angles: 90.00 90.00 90.00
Sites, in units of the cell vectors:
In 0.000 0.000 0.000
Mo 0.000 0.500 0.500
Mo 0.500 0.000 0.500
Se 0.500 0.500 0.000

Space group   P4/mmm


Arrangement three

InMo2Se: PBEsol geometry, meta-GGA SCAN.

abc: 5.591 8.644 3.032
angles: 90.00 111.12 90.00
Sites, in units of the cell vectors:
In 0.000 0.000 0.000
In 0.500 0.500 0.000
Mo 0.250 0.250 0.500
Mo 0.250 0.750 0.500
Mo 0.750 0.250 0.500
Mo 0.750 0.750 0.500
Se 0.000 0.500 0.000
Se 0.500 0.000 0.000

Space group   C2/m


Question: which arrangement is favored energetically? Ranking from most to least stable: arrangement one, arrangement three, arrangement two.


Arrangement one

InMo2Se: PBEsol geometry, meta-GGA SCAN.

abc: 6.392 6.392 6.392
angles: 90.00 90.00 90.00
Sites, in units of the cell vectors:
In 0.000 0.000 0.000
In 0.000 0.500 0.500
In 0.500 0.000 0.500
In 0.500 0.500 0.000
Mo 0.250 0.250 0.250
Mo 0.250 0.250 0.750
Mo 0.250 0.750 0.250
Mo 0.250 0.750 0.750
Mo 0.750 0.250 0.250
Mo 0.750 0.250 0.750
Mo 0.750 0.750 0.250
Mo 0.750 0.750 0.750
Se 0.000 0.000 0.500
Se 0.000 0.500 0.000
Se 0.500 0.000 0.000
Se 0.500 0.500 0.500

Space group   Fm-3m


Arrangement two

InMo2Se: PBEsol geometry, meta-GGA SCAN.

abc: 3.232 4.730 9.642
angles: 90.00 90.00 90.00
Sites, in units of the cell vectors:
In 0.000 0.000 0.000
In 0.500 0.500 0.000
Mo 0.000 0.000 0.537
Mo 0.000 0.500 0.745
Mo 0.500 0.000 0.745
Mo 0.500 0.500 0.537
Se 0.000 0.500 0.323
Se 0.500 0.000 0.323

Space group   Cmm2


Question: which arrangement is favored energetically? Ranking from most to least stable: arrangement two, arrangement one.